Material: MgAlNO2
Method: DFT, GGA-PBE
State: optimized geometry

a = 3.716 Å, b = 3.716 Å, c = 3.774 Å
α = 90.00°, β = 90.00°, γ = 90.00°
Atoms (fractional coordinates):
Mg: 0.500 0.500 0.500
Al: 0.000 0.000 0.000
O: 0.000 0.500 0.000
O: 0.500 0.000 0.000
N: 0.000 0.000 0.500

Calculated values
D(E_F): 0.275 states/eV per atom
size of the total moment: 0.387 μB/atom
raw total energy: -29.49 eV per cell
formation energy (no corrections): -1.18 eV/atom
ρ: 3.10 g cm⁻³

---

Material: GeSb2Pd2
Method: DFT, GGA-PBE
State: optimized geometry

a = 7.916 Å, b = 7.916 Å, c = 3.269 Å
α = 90.00°, β = 90.00°, γ = 90.00°
Atoms (fractional coordinates):
Sb: 0.162 0.662 0.500
Sb: 0.662 0.838 0.500
Sb: 0.838 0.338 0.500
Sb: 0.338 0.162 0.500
Ge: 0.000 0.000 0.000
Ge: 0.500 0.500 0.000
Pd: 0.368 0.868 0.000
Pd: 0.868 0.632 0.000
Pd: 0.632 0.132 0.000
Pd: 0.132 0.368 0.000

Calculated values
D(E_F): 0.554 states/eV per atom
size of the total moment: 0.000 μB/atom
raw total energy: -47.66 eV per cell
formation energy (no corrections): -0.12 eV/atom
ρ: 8.58 g cm⁻³